CeTh3Al | PBE | optimized geometry

Computed properties:
Space group: Cmcm, No. 63
Formation energy from the elements (meV per atom): -72
Density of states at the Fermi level (states/eV per atom): 1.668

Cell: 4.8493 4.8302 12.4179 Å, 90.00 78.74 90.00°
Element x y z (fractional)
Ce 0.4776 0.7500 0.6931
Ce 0.1707 0.2500 0.3069
Th 0.7694 0.2500 0.1094
Th 0.3809 0.2500 0.8866
Th 0.5732 0.2500 0.5019
Th 0.2675 0.7500 0.1134
Th 0.8789 0.7500 0.8906
Th 0.0751 0.7500 0.4981
Al 0.6720 0.7500 0.3043
Al 0.9763 0.2500 0.6957

***

MgCd2Ag | PBE | optimized geometry

Computed properties:
Space group: Fm-3m, No. 225
Formation energy from the elements (meV per atom): -67
Density of states at the Fermi level (states/eV per atom): 0.260
Energy relative to the lowest polymorph listed for this composition (meV/atom): 38

Cell: 4.8488 4.8488 4.8488 Å, 60.00 60.00 60.00°
Element x y z (fractional)
Mg 0.0000 0.0000 0.0000
Ag 0.5000 0.5000 0.5000
Cd 0.2500 0.2500 0.2500
Cd 0.7500 0.7500 0.7500

***

Mn2AsCl | PBE | optimized geometry

Computed properties:
Space group: P4/mmm, No. 123
Raw formation energy (kcal/mol of atoms): 0.48
Density of states at the Fermi level (states/eV per atom): 0.965
Energy relative to the lowest polymorph listed for this composition (meV/atom): 219

Cell: 3.1887 3.1887 6.8098 Å, 90.00 90.00 90.00°
Last column: magnetic moment on the atom in μB.
Element x y z (fractional)
As 0.5000 0.5000 0.2500  -0.15
Mn 0.0000 0.0000 0.0413  3.68
Mn 0.0000 0.0000 0.4587  3.68
Cl 0.5000 0.5000 0.7500  0.09

***

Th6ZnP2Se3 | PBE | optimized geometry

Computed properties:
Space group: C2/m, No. 12
Raw formation energy (kcal/mol of atoms): -30.26
Density of states at the Fermi level (states/eV per atom): 0.636

Cell: 4.1824 8.4453 9.4323 Å, 103.37 102.81 90.00°
Element x y z (fractional)
Th 0.3337 0.9028 0.6674
Th 0.6703 0.5717 0.3405
Th 0.6663 0.0972 0.3326
Th 0.0060 0.2486 0.0120
Th 0.9940 0.7514 0.9880
Th 0.3297 0.4283 0.6595
Zn 0.5000 0.0000 0.0000
P 0.8315 0.6652 0.6630
P 0.1685 0.3348 0.3370
Se 0.5000 0.5000 0.0000
Se 0.8354 0.1671 0.6707
Se 0.1646 0.8329 0.3293

***

CuRe2Mo | PBE | optimized geometry

Computed properties:
Space group: Cmmm, No. 65
Formation energy from the elements (meV per atom): 317
Density of states at the Fermi level (states/eV per atom): 0.885
Energy relative to the lowest polymorph listed for this composition (meV/atom): 143

Cell: 4.8149 4.8149 2.7128 Å, 90.00 90.00 111.16°
Element x y z (fractional)
Cu 0.5000 0.0000 0.5000
Mo 0.0000 0.5000 0.5000
Re 0.0000 0.0000 0.0000
Re 0.5000 0.5000 0.0000

***

MgZn2Bi | PBE | optimized geometry

Computed properties:
Space group: P4/mmm, No. 123
Formation energy from the elements (meV per atom): 81
Density of states at the Fermi level (states/eV per atom): 0.505

Cell: 3.7099 3.7099 6.2886 Å, 90.00 90.00 90.00°
Element x y z (fractional)
Mg 0.5000 0.5000 0.0000
Zn 0.0000 0.0000 0.7832
Zn 0.0000 0.0000 0.2168
Bi 0.5000 0.5000 0.5000

***

NaMg3Ta | PBE | optimized geometry

Computed properties:
Space group: Pm-3m, No. 221
Formation energy from the elements (meV per atom): 1032
Density of states at the Fermi level (states/eV per atom): 0.847
Energy relative to the lowest polymorph listed for this composition (meV/atom): 0

Cell: 5.5410 5.5410 5.5410 Å, 90.00 90.00 90.00°
Last column: magnetic moment on the atom in μB.
Element x y z (fractional)
Na 0.5000 0.5000 0.5000  -0.01
Mg 0.0000 0.5000 0.0000  0.03
Mg 0.0000 0.0000 0.5000  0.00
Mg 0.5000 0.0000 0.0000  0.06
Ta 0.0000 0.0000 0.0000  1.84

***

Mg3PdO | PBE | optimized geometry

Computed properties:
Space group: Pm-3m, No. 221
Raw formation energy (kcal/mol of atoms): 2.13
Density of states at the Fermi level (states/eV per atom): 0.528
Energy relative to the lowest polymorph listed for this composition (meV/atom): 1303

Cell: 4.8784 4.8784 4.8784 Å, 90.00 90.00 90.00°
Element x y z (fractional)
Mg 0.0000 0.5000 0.0000
Mg 0.0000 0.0000 0.5000
Mg 0.5000 0.0000 0.0000
O 0.5000 0.5000 0.5000
Pd 0.0000 0.0000 0.0000

***

NaSrCo2Sn | PBE | optimized geometry

Computed properties:
Space group: P4/mmm, No. 123
Formation energy from the elements (meV per atom): 778
Density of states at the Fermi level (states/eV per atom): 0.622

Cell: 4.9517 6.0414 4.9517 Å, 90.00 90.00 90.00°
Last column: magnetic moment on the atom in μB.
Element x y z (fractional)
Sr 0.0000 0.5000 0.0000  -0.04
Co 0.0000 0.0000 0.5000  1.42
Co 0.5000 0.0000 0.0000  1.90
Sn 0.0000 0.0000 0.0000  -0.06
Na 0.5000 0.5000 0.5000  -0.02

***

TiNbRh2Br | PBE | optimized geometry

Computed properties:
Space group: P4/mmm, No. 123
Raw formation energy (kcal/mol of atoms): 19.21
Density of states at the Fermi level (states/eV per atom): 0.873

Cell: 4.5786 4.5512 4.5786 Å, 90.00 90.00 90.00°
Last column: magnetic moment on the atom in μB.
Element x y z (fractional)
Nb 0.5000 0.5000 0.5000  1.11
Rh 0.0000 0.0000 0.5000  0.09
Rh 0.5000 0.0000 0.0000  0.03
Br 0.0000 0.0000 0.0000  0.02
Ti 0.0000 0.5000 0.0000  0.08

***

Tb2ZrAl4Au3 | PBE | optimized geometry

Computed properties:
Space group: P-4m2, No. 115
Formation energy from the elements (meV per atom): -601
Density of states at the Fermi level (states/eV per atom): 0.613

Cell: 4.2536 4.2536 11.4632 Å, 90.00 90.00 90.00°
Element x y z (fractional)
Tb 0.5000 0.0000 0.2443
Tb 0.0000 0.5000 0.7557
Zr 0.5000 0.5000 0.5000
Al 0.5000 0.5000 0.0000
Al 0.0000 0.0000 0.0000
Al 0.5000 0.0000 0.6539
Al 0.0000 0.5000 0.3461
Au 0.0000 0.0000 0.5000
Au 0.5000 0.0000 0.8710
Au 0.0000 0.5000 0.1290

***

LiTh3Sn3 | PBE | optimized geometry

Computed properties:
Space group: C2/m, No. 12
Formation energy from the elements (meV per atom): -522
Density of states at the Fermi level (states/eV per atom): 0.631

Cell: 4.5431 6.2938 14.7461 Å, 84.42 81.14 68.84°
Element x y z (fractional)
Li 0.7637 0.0738 0.3988
Li 0.2363 0.9262 0.6012
Th 0.5245 0.3340 0.6170
Th 0.4755 0.6660 0.3830
Th 0.2525 0.2661 0.2289
Th 0.7475 0.7339 0.7711
Th 0.4006 0.2799 0.9189
Th 0.5994 0.7201 0.0811
Sn 0.8579 0.7355 0.5487
Sn 0.1421 0.2645 0.4513
Sn 0.1265 0.8228 0.9243
Sn 0.8735 0.1772 0.0757
Sn 0.9680 0.8264 0.2376
Sn 0.0320 0.1736 0.7624

***

Copy entry 3 word for word.
Mn2AsCl | PBE | optimized geometry

Computed properties:
Space group: P4/mmm, No. 123
Raw formation energy (kcal/mol of atoms): 0.48
Density of states at the Fermi level (states/eV per atom): 0.965
Energy relative to the lowest polymorph listed for this composition (meV/atom): 219

Cell: 3.1887 3.1887 6.8098 Å, 90.00 90.00 90.00°
Last column: magnetic moment on the atom in μB.
Element x y z (fractional)
As 0.5000 0.5000 0.2500  -0.15
Mn 0.0000 0.0000 0.0413  3.68
Mn 0.0000 0.0000 0.4587  3.68
Cl 0.5000 0.5000 0.7500  0.09